[1]
# Sr2LiInAu6 (PBE, optimized geometry)
# * volume: 252 Å³/cell
# * M_tot: 0.00 μB per cell
# * E: -3.2381 eV/atom
# * energy relative to the elements: -0.4701 eV/atom
# * density of states at the Fermi level: 0.301 states/eV per atom
# * crystal system: triclinic
data_Sr2LiInAu6
_space_group_name_H-M_alt 'P 1'
_space_group_IT_number 1
_cell_length_a 6.518
_cell_length_b 6.738
_cell_length_c 7.343
_cell_angle_alpha 73.30
_cell_angle_beta 63.65
_cell_angle_gamma 61.21
loop_
_space_group_symop_operation_xyz
'x,y,z'
loop_
_atom_site_label
_atom_site_type_symbol
_atom_site_fract_x
_atom_site_fract_y
_atom_site_fract_z
Sr1 Sr 0.245 0.306 0.202
Sr2 Sr 0.755 0.694 0.798
Li1 Li 0.500 0.500 0.500
In1 In 0.000 0.000 0.000
Au1 Au 0.250 0.907 0.595
Au2 Au 0.271 0.771 0.251
Au3 Au 0.294 0.229 0.751
Au4 Au 0.706 0.771 0.249
Au5 Au 0.729 0.229 0.749
Au6 Au 0.750 0.093 0.405


[2]
# Sr2LiIn4Au3 (PBE, optimized geometry)
# * volume: 254 Å³/cell
# * M_tot: 0.00 μB per cell
# * E: -3.1055 eV/atom
# * energy relative to the elements: -0.4992 eV/atom
# * density of states at the Fermi level: 0.607 states/eV per atom
# * crystal system: tetragonal
data_Sr2LiIn4Au3
_space_group_name_H-M_alt 'P 1'
_space_group_IT_number 1
_cell_length_a 4.535
_cell_length_b 4.535
_cell_length_c 12.331
_cell_angle_alpha 90.00
_cell_angle_beta 90.00
_cell_angle_gamma 90.00
loop_
_space_group_symop_operation_xyz
'x,y,z'
loop_
_atom_site_label
_atom_site_type_symbol
_atom_site_fract_x
_atom_site_fract_y
_atom_site_fract_z
Sr1 Sr 0.000 0.500 0.245
Sr2 Sr 0.500 0.000 0.755
Li1 Li 0.000 0.000 0.500
In1 In 0.000 0.000 0.000
In2 In 0.000 0.500 0.633
In3 In 0.500 0.000 0.367
In4 In 0.500 0.500 0.000
Au1 Au 0.000 0.500 0.856
Au2 Au 0.500 0.000 0.144
Au3 Au 0.500 0.500 0.500


[3]
# LiTbIn2Au4 (PBE, optimized geometry)
# * volume: 161 Å³/cell
# * M_tot: 0.00 μB per cell
# * E: -3.6828 eV/atom
# * energy relative to the elements: -0.5415 eV/atom
# * density of states at the Fermi level: 0.441 states/eV per atom
# * crystal system: trigonal
data_LiTbIn2Au4
_space_group_name_H-M_alt 'P 1'
_space_group_IT_number 1
_cell_length_a 8.587
_cell_length_b 8.587
_cell_length_c 8.587
_cell_angle_alpha 32.38
_cell_angle_beta 32.38
_cell_angle_gamma 32.38
loop_
_space_group_symop_operation_xyz
'x,y,z'
loop_
_atom_site_label
_atom_site_type_symbol
_atom_site_fract_x
_atom_site_fract_y
_atom_site_fract_z
Li1 Li 0.000 0.000 0.000
Tb1 Tb 0.500 0.500 0.500
In1 In 0.254 0.254 0.254
In2 In 0.746 0.746 0.746
Au1 Au 0.114 0.114 0.114
Au2 Au 0.372 0.372 0.372
Au3 Au 0.628 0.628 0.628
Au4 Au 0.886 0.886 0.886


[4]
# Li2TbInAu2 (PBE, optimized geometry)
# * volume: 118 Å³/cell
# * M_tot: 0.00 μB per cell
# * E: -3.5391 eV/atom
# * energy relative to the elements: -0.5806 eV/atom
# * density of states at the Fermi level: 0.688 states/eV per atom
# * crystal system: trigonal
data_Li2TbInAu2
_space_group_name_H-M_alt 'P 1'
_space_group_IT_number 1
_cell_length_a 4.563
_cell_length_b 4.563
_cell_length_c 6.519
_cell_angle_alpha 90.00
_cell_angle_beta 90.00
_cell_angle_gamma 120.00
loop_
_space_group_symop_operation_xyz
'x,y,z'
loop_
_atom_site_label
_atom_site_type_symbol
_atom_site_fract_x
_atom_site_fract_y
_atom_site_fract_z
Li1 Li 0.333 0.667 0.182
Li2 Li 0.667 0.333 0.818
Tb1 Tb 0.000 0.000 0.500
In1 In 0.000 0.000 0.000
Au1 Au 0.333 0.667 0.753
Au2 Au 0.667 0.333 0.247


[5]
# LiInTc2Au (PBE, optimized geometry)
# * volume: 82 Å³/cell
# * M_tot: 2.74 μB per cell
# * E: -4.6826 eV/atom
# * energy relative to the elements: 1.0498 eV/atom
# * density of states at the Fermi level: 0.947 states/eV per atom
# * crystal system: tetragonal
data_LiInTc2Au
_space_group_name_H-M_alt 'P 1'
_space_group_IT_number 1
_cell_length_a 4.282
_cell_length_b 4.282
_cell_length_c 4.458
_cell_angle_alpha 90.00
_cell_angle_beta 90.00
_cell_angle_gamma 90.00
loop_
_space_group_symop_operation_xyz
'x,y,z'
loop_
_atom_site_label
_atom_site_type_symbol
_atom_site_fract_x
_atom_site_fract_y
_atom_site_fract_z
Li1 Li 0.000 0.000 0.000
In1 In 0.000 0.000 0.500
Tc1 Tc 0.000 0.500 0.000
Tc2 Tc 0.500 0.000 0.000
Au1 Au 0.500 0.500 0.500


[6]
# LiIn2Te4Au (PBE, optimized geometry)
# * volume: 272 Å³/cell
# * M_tot: 0.00 μB per cell
# * raw formation energy: -3.4 eV per formula unit
# * E: -3.3274 eV/atom
# * density of states at the Fermi level: 0.022 states/eV per atom
# * crystal system: orthorhombic
data_LiIn2Te4Au
_space_group_name_H-M_alt 'P 1'
_space_group_IT_number 1
_cell_length_a 7.978
_cell_length_b 7.978
_cell_length_c 6.438
_cell_angle_alpha 66.21
_cell_angle_beta 66.20
_cell_angle_gamma 47.59
loop_
_space_group_symop_operation_xyz
'x,y,z'
loop_
_atom_site_label
_atom_site_type_symbol
_atom_site_fract_x
_atom_site_fract_y
_atom_site_fract_z
Li1 Li 0.000 0.000 0.000
In1 In 0.251 0.251 0.249
In2 In 0.751 0.751 0.749
Te1 Te 0.131 0.634 0.366
Te2 Te 0.367 0.871 0.633
Te3 Te 0.634 0.131 0.869
Te4 Te 0.871 0.367 0.129
Au1 Au 0.502 0.502 0.498


[7]
# Li2ThInAu2 (PBE, optimized geometry)
# * volume: 123 Å³/cell
# * M_tot: 0.00 μB per cell
# * E: -3.9530 eV/atom
# * energy relative to the elements: -0.5296 eV/atom
# * density of states at the Fermi level: 0.694 states/eV per atom
# * crystal system: trigonal
data_Li2ThInAu2
_space_group_name_H-M_alt 'P 1'
_space_group_IT_number 1
_cell_length_a 4.547
_cell_length_b 4.547
_cell_length_c 6.848
_cell_angle_alpha 90.00
_cell_angle_beta 90.00
_cell_angle_gamma 120.00
loop_
_space_group_symop_operation_xyz
'x,y,z'
loop_
_atom_site_label
_atom_site_type_symbol
_atom_site_fract_x
_atom_site_fract_y
_atom_site_fract_z
Li1 Li 0.333 0.667 0.154
Li2 Li 0.667 0.333 0.846
Th1 Th 0.000 0.000 0.500
In1 In 0.000 0.000 0.000
Au1 Au 0.333 0.667 0.747
Au2 Au 0.667 0.333 0.253


[8]
# LiThIn2Au4 (PBE, optimized geometry)
# * volume: 168 Å³/cell
# * M_tot: 0.00 μB per cell
# * E: -3.9940 eV/atom
# * energy relative to the elements: -0.5040 eV/atom
# * density of states at the Fermi level: 0.677 states/eV per atom
# * crystal system: trigonal
data_LiThIn2Au4
_space_group_name_H-M_alt 'P 1'
_space_group_IT_number 1
_cell_length_a 9.063
_cell_length_b 9.063
_cell_length_c 9.063
_cell_angle_alpha 30.29
_cell_angle_beta 30.29
_cell_angle_gamma 30.29
loop_
_space_group_symop_operation_xyz
'x,y,z'
loop_
_atom_site_label
_atom_site_type_symbol
_atom_site_fract_x
_atom_site_fract_y
_atom_site_fract_z
Li1 Li 0.000 0.000 0.000
Th1 Th 0.500 0.500 0.500
In1 In 0.259 0.259 0.259
In2 In 0.741 0.741 0.741
Au1 Au 0.110 0.110 0.110
Au2 Au 0.370 0.370 0.370
Au3 Au 0.630 0.630 0.630
Au4 Au 0.890 0.890 0.890


[9]
# LiTiInAu (PBE, optimized geometry)
# * volume: 70 Å³/cell
# * M_tot: 0.00 μB per cell
# * relative energy among the computed polymorphs: 3.1 kJ per mole of atoms
# * E: -4.2575 eV/atom
# * energy relative to the elements: -0.3013 eV/atom
# * density of states at the Fermi level: 0.580 states/eV per atom
# * crystal system: cubic
data_LiTiInAu
_space_group_name_H-M_alt 'P 1'
_space_group_IT_number 1
_cell_length_a 4.626
_cell_length_b 4.626
_cell_length_c 4.626
_cell_angle_alpha 60.00
_cell_angle_beta 60.00
_cell_angle_gamma 60.00
loop_
_space_group_symop_operation_xyz
'x,y,z'
loop_
_atom_site_label
_atom_site_type_symbol
_atom_site_fract_x
_atom_site_fract_y
_atom_site_fract_z
Li1 Li 0.000 0.000 0.000
Ti1 Ti 0.500 0.500 0.500
In1 In 0.750 0.750 0.750
Au1 Au 0.250 0.250 0.250


[10]
# LiTiInAu (PBE, optimized geometry)
# * volume: 69 Å³/cell
# * M_tot: 0.00 μB per cell
# * relative energy among the computed polymorphs: 0.0 kJ per mole of atoms
# * E: -4.2893 eV/atom
# * energy relative to the elements: -0.3331 eV/atom
# * density of states at the Fermi level: 0.638 states/eV per atom
# * crystal system: tetragonal
data_LiTiInAu
_space_group_name_H-M_alt 'P 1'
_space_group_IT_number 1
_cell_length_a 3.105
_cell_length_b 3.105
_cell_length_c 7.202
_cell_angle_alpha 90.00
_cell_angle_beta 90.00
_cell_angle_gamma 90.00
loop_
_space_group_symop_operation_xyz
'x,y,z'
loop_
_atom_site_label
_atom_site_type_symbol
_atom_site_fract_x
_atom_site_fract_y
_atom_site_fract_z
Li1 Li 0.000 0.000 0.000
Ti1 Ti 0.000 0.000 0.539
In1 In 0.500 0.500 0.261
Au1 Au 0.500 0.500 0.785


[11]
# LiTlInAu2 (PBE, optimized geometry)
# * volume: 116 Å³/cell
# * M_tot: 0.00 μB per cell
# * E: -2.6243 eV/atom
# * energy relative to the elements: 0.0903 eV/atom
# * density of states at the Fermi level: 0.371 states/eV per atom
# * crystal system: tetragonal
data_LiTlInAu2
_space_group_name_H-M_alt 'P 1'
_space_group_IT_number 1
_cell_length_a 4.821
_cell_length_b 4.821
_cell_length_c 4.992
_cell_angle_alpha 90.00
_cell_angle_beta 90.00
_cell_angle_gamma 90.00
loop_
_space_group_symop_operation_xyz
'x,y,z'
loop_
_atom_site_label
_atom_site_type_symbol
_atom_site_fract_x
_atom_site_fract_y
_atom_site_fract_z
Li1 Li 0.000 0.000 0.000
Tl1 Tl 0.000 0.000 0.500
In1 In 0.500 0.500 0.500
Au1 Au 0.000 0.500 0.000
Au2 Au 0.500 0.000 0.000


[12]
# LiTlIn2Au (PBE, optimized geometry)
# * volume: 141 Å³/cell
# * M_tot: 0.00 μB per cell
# * E: -2.6764 eV/atom
# * energy relative to the elements: -0.0696 eV/atom
# * density of states at the Fermi level: 0.588 states/eV per atom
# * crystal system: tetragonal
data_LiTlIn2Au
_space_group_name_H-M_alt 'P 1'
_space_group_IT_number 1
_cell_length_a 5.309
_cell_length_b 5.309
_cell_length_c 5.016
_cell_angle_alpha 90.00
_cell_angle_beta 90.00
_cell_angle_gamma 90.00
loop_
_space_group_symop_operation_xyz
'x,y,z'
loop_
_atom_site_label
_atom_site_type_symbol
_atom_site_fract_x
_atom_site_fract_y
_atom_site_fract_z
Li1 Li 0.000 0.000 0.000
Tl1 Tl 0.500 0.500 0.000
In1 In 0.000 0.500 0.500
In2 In 0.500 0.000 0.500
Au1 Au 0.000 0.000 0.500